Entry 1:
AgS2N2: optimized geometry, GGA-PBE.

Uncorrected formation energy   1012 kJ/mol of formula units
N(E_F)   0.5366 states/eV/atom

abc: 3.9624 3.9624 5.9050
angles: 90.00 90.00 90.00
Closest atoms and distances in Å follow each position.
Element x y z (fractional)
1 S 0.5000 0.5000 0.5000  4 S 2.80
2 S 0.0000 0.0000 0.5000  4 S 2.80, 2 Ag 2.95
3 Ag 0.0000 0.0000 0.0000  4 N 1.98
4 N 0.0000 0.5000 0.0000  2 Ag 1.98
5 N 0.5000 0.0000 0.0000  2 Ag 1.98

=====

Entry 2:
Hf3N: optimized geometry, GGA-PBE.

Uncorrected formation energy   -187 kJ/mol of formula units
N(E_F)   0.7258 states/eV/atom

abc: 2.9830 3.0858 7.8401
angles: 90.00 90.00 90.00
Closest atoms and distances in Å follow each position.
Element x y z (fractional)
1 Hf 0.0000 0.5000 0.4764  10 Hf 2.98-3.33
2 Hf 0.5000 0.5000 0.0967  4 N 2.27
3 Hf 0.5000 0.0000 0.7561  2 N 2.45
4 N 0.0000 0.0000 0.0041  6 Hf 2.27-2.45

=====

Entry 3:
NaAc2Nb: optimized geometry, GGA-PBE.

N(E_F)   1.2214 states/eV/atom

abc: 3.5050 3.5050 13.1526
angles: 82.34 82.34 60.00
Closest atoms and distances in Å follow each position.
Element x y z (fractional)
1 Na 0.5000 0.5000 0.5000  6 Na 3.50
2 Ac 0.0774 0.0774 0.7677  1 Nb 3.02
3 Ac 0.9226 0.9226 0.2323  1 Nb 3.02
4 Nb 0.0000 0.0000 0.0000  2 Ac 3.02

=====

Number 1: V 92.7 Å³/cell, calculated total energy -3.454 eV per atom. Number 2: V 72.2 Å³/cell, calculated total energy -10.030 eV per atom. Number 3: V 138.3 Å³/cell, calculated total energy -4.089 eV per atom.